Arrangement a

VASP calculation (PBE) on La3AuN after structural relaxation.

## Properties
Total magnetic moment   0.34 μB per formula unit

Unit cell a=7.248 b=16.799 c=6.233 alpha=90.00 beta=90.00 gamma=90.00
Space group Cmcm (No. 63)
Symmetry-distinct sites (fractional):
La  0.000  0.000  0.000 (multiplicity 4)
La  0.247  0.322  0.250 (multiplicity 8)
Au  0.000  0.165  0.250 (multiplicity 4)
N  0.000  0.384  0.250 (multiplicity 4)

---

Arrangement b

VASP calculation (PBE) on La3AuN after structural relaxation.

## Properties
Total magnetic moment   0.00 μB per formula unit

Unit cell a=5.1941 b=5.1941 c=10.2695 alpha=90.00 beta=90.00 gamma=120.00
Space group P6_3/mmc (No. 194)
Symmetry-distinct sites (fractional):
La  0.0000  0.0000  0.2500 (multiplicity 2)
La  0.3333  0.6667  0.0508 (multiplicity 4)
Au  0.3333  0.6667  0.7500 (multiplicity 2)
N  0.0000  0.0000  0.0000 (multiplicity 2)

---

Arrangement c

VASP calculation (PBE) on La3AuN after structural relaxation.

## Properties
Total magnetic moment   0.00 μB per formula unit

Unit cell a=5.145 b=7.064 c=7.063 alpha=90.00 beta=90.00 gamma=90.00
Space group Pmc2_1 (No. 26)
Symmetry-distinct sites (fractional):
La  0.000  0.059  0.000 (multiplicity 2)
La  0.000  0.440  0.619 (multiplicity 2)
La  0.500  0.251  0.308 (multiplicity 2)
Au  0.500  0.249  0.809 (multiplicity 2)
N  0.000  0.251  0.309 (multiplicity 2)

---

Name the least stable of them. arrangement a.

---

Arrangement a

VASP calculation (PBE) on La4Au2N after structural relaxation.

## Properties
Total magnetic moment   1.49 μB per formula unit

Unit cell a=7.513 b=13.377 c=3.905 alpha=90.00 beta=90.00 gamma=90.00
Space group Pbam (No. 55)
Symmetry-distinct sites (fractional):
La  0.104  0.183  0.000 (multiplicity 4)
La  0.223  0.959  0.500 (multiplicity 4)
Au  0.076  0.666  0.500 (multiplicity 4)
N  0.000  0.000  0.000 (multiplicity 2)

---

Arrangement b

VASP calculation (PBE) on La4Au2N after structural relaxation.

## Properties
Total magnetic moment   0.00 μB per formula unit

Unit cell a=7.190 b=14.791 c=7.330 alpha=90.00 beta=90.00 gamma=90.00
Space group Cmce (No. 64)
Symmetry-distinct sites (fractional):
La  0.000  0.174  0.057 (multiplicity 8)
La  0.250  0.021  0.750 (multiplicity 8)
Au  0.000  0.126  0.469 (multiplicity 8)
N  0.000  0.000  0.000 (multiplicity 4)

---

Name the least stable of them. arrangement a.

---

Arrangement a

VASP calculation (PBE) on La5Au2N after structural relaxation.

## Properties
Total magnetic moment   0.00 μB per formula unit

Unit cell a=17.610 b=6.986 c=7.467 alpha=90.00 beta=94.25 gamma=90.00
Space group C2/c (No. 15)
Symmetry-distinct sites (fractional):
La  0.000  0.056  0.250 (multiplicity 4)
La  0.111  0.364  0.948 (multiplicity 8)
La  0.222  0.055  0.291 (multiplicity 8)
Au  0.109  0.211  0.555 (multiplicity 8)
N  0.250  0.250  0.000 (multiplicity 4)

---

Arrangement b

VASP calculation (PBE) on La5Au2N after structural relaxation.

## Properties
Total magnetic moment   0.00 μB per formula unit

Unit cell a=5.327 b=11.190 c=15.072 alpha=90.00 beta=90.00 gamma=90.00
Space group Cmcm (No. 63)
Symmetry-distinct sites (fractional):
La  0.000  0.099  0.125 (multiplicity 8)
La  0.000  0.251  0.750 (multiplicity 4)
La  0.000  0.400  0.125 (multiplicity 8)
Au  0.000  0.250  0.554 (multiplicity 8)
N  0.000  0.249  0.250 (multiplicity 4)

---

Name the least stable of them. arrangement b.

---

Arrangement a

VASP calculation (PBE) on LaAuS2N after structural relaxation.

## Properties
Total magnetic moment   2.18 μB per formula unit

Unit cell a=5.657 b=5.657 c=4.304 alpha=90.00 beta=90.00 gamma=90.00
Space group P4/mmm (No. 123)
Symmetry-distinct sites (fractional):
La  0.000  0.000  0.000 (multiplicity 1)
Au  0.500  0.500  0.500 (multiplicity 1)
S  0.000  0.500  0.000 (multiplicity 2)
N  0.000  0.000  0.500 (multiplicity 1)

---

Arrangement b

VASP calculation (PBE) on LaAuS2N after structural relaxation.

## Properties
Total magnetic moment   1.21 μB per formula unit

Unit cell a=4.978 b=4.978 c=4.044 alpha=90.00 beta=90.00 gamma=90.00
Space group P4/mmm (No. 123)
Symmetry-distinct sites (fractional):
La  0.000  0.000  0.000 (multiplicity 1)
Au  0.500  0.500  0.500 (multiplicity 1)
S  0.000  0.500  0.500 (multiplicity 2)
N  0.500  0.500  0.000 (multiplicity 1)

---

Name the least stable of them. arrangement a.

---

Arrangement a

VASP calculation (PBE) on LaAuSeN2 after structural relaxation.

## Properties
Total magnetic moment   0.00 μB per formula unit

Unit cell a=4.080 b=4.080 c=6.676 alpha=90.00 beta=90.00 gamma=90.00
Space group P4/mmm (No. 123)
Symmetry-distinct sites (fractional):
La  0.000  0.000  0.000 (multiplicity 1)
Au  0.500  0.500  0.500 (multiplicity 1)
Se  0.000  0.000  0.500 (multiplicity 1)
N  0.000  0.500  0.000 (multiplicity 2)

---

Arrangement b

VASP calculation (PBE) on LaAuSeN2 after structural relaxation.

## Properties
Total magnetic moment   1.33 μB per formula unit

Unit cell a=4.281 b=4.281 c=5.017 alpha=90.00 beta=90.00 gamma=90.00
Space group P4/mmm (No. 123)
Symmetry-distinct sites (fractional):
La  0.000  0.000  0.000 (multiplicity 1)
Au  0.500  0.500  0.500 (multiplicity 1)
Se  0.500  0.500  0.000 (multiplicity 1)
N  0.000  0.500  0.500 (multiplicity 2)

---

Name the least stable of them. arrangement a.

---

Arrangement a

VASP calculation (PBE) on LaTeAuN2 after structural relaxation.

## Properties
Total magnetic moment   1.36 μB per formula unit

Unit cell a=4.422 b=4.422 c=5.283 alpha=90.00 beta=90.00 gamma=90.00
Space group P4/mmm (No. 123)
Symmetry-distinct sites (fractional):
La  0.000  0.000  0.000 (multiplicity 1)
Te  0.500  0.500  0.000 (multiplicity 1)
Au  0.500  0.500  0.500 (multiplicity 1)
N  0.000  0.500  0.500 (multiplicity 2)

---

Arrangement b

VASP calculation (PBE) on LaTeAuN2 after structural relaxation.

## Properties
Total magnetic moment   0.04 μB per formula unit

Unit cell a=4.160 b=4.160 c=7.162 alpha=90.00 beta=90.00 gamma=90.00
Space group P4/mmm (No. 123)
Symmetry-distinct sites (fractional):
La  0.000  0.000  0.000 (multiplicity 1)
Te  0.000  0.000  0.500 (multiplicity 1)
Au  0.500  0.500  0.500 (multiplicity 1)
N  0.000  0.500  0.000 (multiplicity 2)

---

Name the least stable of them. arrangement a.

---

Arrangement a

VASP calculation (PBE) on NaLaAu after structural relaxation.

## Properties
Total magnetic moment   0.00 μB per formula unit

Unit cell a=3.875 b=3.875 c=11.649 alpha=90.00 beta=90.00 gamma=90.00
Space group I4mm (No. 107)
Symmetry-distinct sites (fractional):
Na  0.000  0.000  0.000 (multiplicity 2)
La  0.000  0.000  0.279 (multiplicity 2)
Au  0.000  0.000  0.656 (multiplicity 2)

---

Arrangement b

VASP calculation (PBE) on NaLaAu after structural relaxation.

## Properties
Total magnetic moment   0.00 μB per formula unit

Unit cell a=8.087 b=4.312 c=14.224 alpha=90.00 beta=92.23 gamma=90.00
Space group P2_1/m (No. 11)
Symmetry-distinct sites (fractional):
Na  0.013  0.250  0.082 (multiplicity 2)
Na  0.128  0.750  0.537 (multiplicity 2)
Na  0.378  0.250  0.200 (multiplicity 2)
La  0.055  0.750  0.284 (multiplicity 2)
La  0.342  0.250  0.912 (multiplicity 2)
La  0.452  0.250  0.621 (multiplicity 2)
Au  0.236  0.750  0.748 (multiplicity 2)
Au  0.272  0.250  0.408 (multiplicity 2)
Au  0.275  0.750  0.069 (multiplicity 2)

---

Name the least stable of them. arrangement a.

---

Arrangement a

VASP calculation (PBE) on NaLa2Au after structural relaxation.

## Properties
Total magnetic moment   0.00 μB per formula unit

Unit cell a=4.1237 b=4.1237 c=30.2666 alpha=90.00 beta=90.00 gamma=120.00
Space group R3m (No. 160, hexagonal axes)
Symmetry-distinct sites (fractional):
Na  0.0000  0.0000  0.0000 (multiplicity 3)
La  0.0000  0.0000  0.5619 (multiplicity 3)
La  0.0000  0.0000  0.7713 (multiplicity 3)
Au  0.0000  0.0000  0.1665 (multiplicity 3)

---

Arrangement b

VASP calculation (PBE) on NaLa2Au after structural relaxation.

## Properties
Total magnetic moment   0.00 μB per formula unit

Unit cell a=8.835 b=8.835 c=6.721 alpha=90.00 beta=90.00 gamma=90.00
Space group I-42d (No. 122)
Symmetry-distinct sites (fractional):
Na  0.000  0.000  0.000 (multiplicity 4)
La  0.205  0.250  0.625 (multiplicity 8)
Au  0.000  0.000  0.500 (multiplicity 4)

---

Arrangement c

VASP calculation (PBE) on NaLa2Au after structural relaxation.

## Properties
Total magnetic moment   0.10 μB per formula unit

Unit cell a=3.789 b=3.789 c=9.094 alpha=90.00 beta=90.00 gamma=90.00
Space group P4/mmm (No. 123)
Symmetry-distinct sites (fractional):
Na  0.000  0.000  0.000 (multiplicity 1)
La  0.500  0.500  0.306 (multiplicity 2)
Au  0.000  0.000  0.500 (multiplicity 1)

---

Name the least stable of them. arrangement b.

---

Arrangement a

VASP calculation (PBE) on NaLaAu4 after structural relaxation.

## Properties
Total magnetic moment   0.00 μB per formula unit

Unit cell a=4.069 b=4.069 c=18.196 alpha=90.00 beta=90.00 gamma=90.00
Space group I-4m2 (No. 119)
Symmetry-distinct sites (fractional):
Na  0.000  0.000  0.000 (multiplicity 2)
La  0.000  0.500  0.250 (multiplicity 2)
Au  0.000  0.000  0.426 (multiplicity 4)
Au  0.000  0.500  0.673 (multiplicity 4)

---

Arrangement b

VASP calculation (PBE) on NaLaAu4 after structural relaxation.

## Properties
Total magnetic moment   0.00 μB per formula unit

Unit cell a=8.049 b=8.049 c=8.049 alpha=90.00 beta=90.00 gamma=90.00
Space group F-43m (No. 216)
Symmetry-distinct sites (fractional):
Na  0.000  0.000  0.000 (multiplicity 4)
La  0.250  0.250  0.250 (multiplicity 4)
Au  0.126  0.126  0.626 (multiplicity 16)

---

Name the least stable of them. arrangement a.

---

Arrangement a

VASP calculation (PBE) on NaLaWAu2 after structural relaxation.

## Properties
Total magnetic moment   0.82 μB per formula unit

Unit cell a=5.085 b=5.085 c=5.160 alpha=90.00 beta=90.00 gamma=90.00
Space group P4/mmm (No. 123)
Symmetry-distinct sites (fractional):
Na  0.000  0.000  0.000 (multiplicity 1)
La  0.500  0.500  0.000 (multiplicity 1)
W  0.000  0.000  0.500 (multiplicity 1)
Au  0.000  0.500  0.500 (multiplicity 2)

---

Arrangement b

VASP calculation (PBE) on NaLaWAu2 after structural relaxation.

## Properties
Total magnetic moment   2.33 μB per formula unit

Unit cell a=4.892 b=4.892 c=5.033 alpha=90.00 beta=90.00 gamma=90.00
Space group P4/mmm (No. 123)
Symmetry-distinct sites (fractional):
Na  0.000  0.000  0.000 (multiplicity 1)
La  0.500  0.500  0.500 (multiplicity 1)
W  0.000  0.000  0.500 (multiplicity 1)
Au  0.000  0.500  0.000 (multiplicity 2)

---

Name the least stable of them. arrangement b.

---

Arrangement a

VASP calculation (PBE) on La2NbAu after structural relaxation.

## Properties
Total magnetic moment   2.13 μB per formula unit

Unit cell a=7.546 b=7.546 c=7.546 alpha=90.00 beta=90.00 gamma=90.00
Space group Fm-3m (No. 225)
Symmetry-distinct sites (fractional):
La  0.250  0.250  0.250 (multiplicity 8)
Nb  0.000  0.000  0.000 (multiplicity 4)
Au  0.000  0.000  0.500 (multiplicity 4)

---

Arrangement b

VASP calculation (PBE) on La2NbAu after structural relaxation.

## Properties
Total magnetic moment   1.82 μB per formula unit

Unit cell a=8.247 b=8.247 c=6.320 alpha=90.00 beta=90.00 gamma=90.00
Space group I-42d (No. 122)
Symmetry-distinct sites (fractional):
La  0.248  0.250  0.125 (multiplicity 8)
Nb  0.000  0.000  0.500 (multiplicity 4)
Au  0.000  0.000  0.000 (multiplicity 4)

---

Name the least stable of them. arrangement b.